# FeAg2Ir (PBE, relaxed)
# - Magnetization: 3.3 μB/f.u.
# - ΔE_f: 0.36 eV per atom
# - E above lowest polymorph: 165 meV per atom
data_FeAg2Ir
_chemical_formula_sum 'Fe1 Ag2 Ir1'
_space_group_name_H-M_alt 'P 1'
_space_group_IT_number 1
_cell_length_a 4.7772
_cell_length_b 4.7772
_cell_length_c 4.9801
_cell_angle_alpha 100.85
_cell_angle_beta 100.85
_cell_angle_gamma 34.27
loop_
_space_group_symop_operation_xyz
'x,y,z'
loop_
_atom_site_label
_atom_site_type_symbol
_atom_site_fract_x
_atom_site_fract_y
_atom_site_fract_z
Fe1 Fe 0.0000 0.0000 0.0000
Ag1 Ag 0.5103 0.5103 0.5272
Ag2 Ag 0.7519 0.7519 0.2918
Ir1 Ir 0.2670 0.2670 0.8164

---

# CeSm2Tl3S6 (PBE, relaxed)
# - Magnetization: 1.0 μB/f.u.
# - Formation energy from raw total energies: -1.44 eV per atom
data_CeSm2Tl3S6
_chemical_formula_sum 'Ce1 Sm2 Tl3 S6'
_space_group_name_H-M_alt 'P 1'
_space_group_IT_number 1
_cell_length_a 7.1949
_cell_length_b 7.1949
_cell_length_c 7.8700
_cell_angle_alpha 98.76
_cell_angle_beta 98.76
_cell_angle_gamma 120.00
loop_
_space_group_symop_operation_xyz
'x,y,z'
loop_
_atom_site_label
_atom_site_type_symbol
_atom_site_fract_x
_atom_site_fract_y
_atom_site_fract_z
Ce1 Ce 0.0000 0.0000 0.0000
Sm1 Sm 0.3334 0.6666 0.0000
Sm2 Sm 0.6666 0.3334 0.0000
Tl1 Tl 0.1669 0.8331 0.5000
Tl2 Tl 0.5000 0.5000 0.5000
Tl3 Tl 0.8331 0.1669 0.5000
S1 S 0.0673 0.4033 0.2020
S2 S 0.2687 0.2687 0.7985
S3 S 0.4033 0.0673 0.2020
S4 S 0.5967 0.9327 0.7980
S5 S 0.7313 0.7313 0.2015
S6 S 0.9327 0.5967 0.7980

---

# H12PtC6N6O8 (PBE, relaxed)
# - Magnetization: 0.0 μB/f.u.
# - E_tot: -424.431 eV per cell
data_H12PtC6N6O8
_chemical_formula_sum 'H24 Pt2 C12 N12 O16'
_space_group_name_H-M_alt 'P 1'
_space_group_IT_number 1
_cell_length_a 3.9142
_cell_length_b 15.1138
_cell_length_c 12.3867
_cell_angle_alpha 90.00
_cell_angle_beta 92.68
_cell_angle_gamma 90.00
loop_
_space_group_symop_operation_xyz
'x,y,z'
loop_
_atom_site_label
_atom_site_type_symbol
_atom_site_fract_x
_atom_site_fract_y
_atom_site_fract_z
H1 H 0.0503 0.0754 0.0575
H2 H 0.0503 0.4246 0.5575
H3 H 0.1116 0.2283 0.8475
H4 H 0.1116 0.2717 0.3475
H5 H 0.1153 0.6862 0.0919
H6 H 0.1153 0.8138 0.5919
H7 H 0.1850 0.0946 0.9240
H8 H 0.1850 0.4054 0.4240
H9 H 0.2319 0.6808 0.3551
H10 H 0.2319 0.8192 0.8551
H11 H 0.2966 0.7117 0.9084
H12 H 0.2966 0.7883 0.4084
H13 H 0.7034 0.2117 0.5916
H14 H 0.7034 0.2883 0.0916
H15 H 0.7681 0.1808 0.1449
H16 H 0.7681 0.3192 0.6449
H17 H 0.8150 0.5946 0.5760
H18 H 0.8150 0.9054 0.0760
H19 H 0.8847 0.1862 0.4081
H20 H 0.8847 0.3138 0.9081
H21 H 0.8884 0.7283 0.6525
H22 H 0.8884 0.7717 0.1525
H23 H 0.9497 0.5754 0.4425
H24 H 0.9497 0.9246 0.9425
Pt1 Pt 0.5000 0.0000 0.5000
Pt2 Pt 0.5000 0.5000 0.0000
C1 C 0.0433 0.6989 0.5029
C2 C 0.0433 0.8011 0.0029
C3 C 0.2991 0.5272 0.2138
C4 C 0.2991 0.9728 0.7138
C5 C 0.3816 0.0726 0.7053
C6 C 0.3816 0.4274 0.2053
C7 C 0.6184 0.5726 0.7947
C8 C 0.6184 0.9274 0.2947
C9 C 0.7009 0.0272 0.2862
C10 C 0.7009 0.4728 0.7862
C11 C 0.9567 0.1989 0.9971
C12 C 0.9567 0.3011 0.4971
N1 N 0.0002 0.2467 0.4136
N2 N 0.0002 0.2533 0.9136
N3 N 0.9998 0.7467 0.0864
N4 N 0.9998 0.7533 0.5864
N5 N 0.0713 0.1154 0.9923
N6 N 0.0713 0.3846 0.4923
N7 N 0.1924 0.7265 0.4140
N8 N 0.1924 0.7735 0.9140
N9 N 0.8076 0.2265 0.0860
N10 N 0.8076 0.2735 0.5860
N11 N 0.9287 0.6154 0.5077
N12 N 0.9287 0.8846 0.0077
O1 O 0.1963 0.5593 0.2985
O2 O 0.1963 0.9407 0.7985
O3 O 0.3472 0.1233 0.7825
O4 O 0.3472 0.3767 0.2825
O5 O 0.3493 0.5731 0.1267
O6 O 0.3493 0.9269 0.6267
O7 O 0.4926 0.0976 0.6121
O8 O 0.4926 0.4024 0.1121
O9 O 0.5074 0.5976 0.8879
O10 O 0.5074 0.9024 0.3879
O11 O 0.6507 0.0731 0.3733
O12 O 0.6507 0.4269 0.8733
O13 O 0.6528 0.6233 0.7175
O14 O 0.6528 0.8767 0.2175
O15 O 0.8037 0.0593 0.2015
O16 O 0.8037 0.4407 0.7015

---

# SmLuZnRh (PBE, relaxed)
# - Magnetization: 0.0 μB/f.u.
# - ΔE_f: -0.59 eV per atom
data_SmLuZnRh
_chemical_formula_sum 'Sm1 Lu1 Zn1 Rh1'
_space_group_name_H-M_alt 'P 1'
_space_group_IT_number 1
_cell_length_a 4.9394
_cell_length_b 4.9394
_cell_length_c 4.9394
_cell_angle_alpha 60.00
_cell_angle_beta 60.00
_cell_angle_gamma 60.00
loop_
_space_group_symop_operation_xyz
'x,y,z'
loop_
_atom_site_label
_atom_site_type_symbol
_atom_site_fract_x
_atom_site_fract_y
_atom_site_fract_z
Sm1 Sm 0.0000 0.0000 0.0000
Lu1 Lu 0.5000 0.5000 0.5000
Zn1 Zn 0.7500 0.7500 0.7500
Rh1 Rh 0.2500 0.2500 0.2500

---

# ZrBeTc2P (PBE, relaxed)
# - Magnetization: 2.2 μB/f.u.
# - ΔE_f: 1.99 eV per atom
data_ZrBeTc2P
_chemical_formula_sum 'Zr1 Be1 Tc2 P1'
_space_group_name_H-M_alt 'P 1'
_space_group_IT_number 1
_cell_length_a 4.8021
_cell_length_b 4.8021
_cell_length_c 4.4919
_cell_angle_alpha 90.00
_cell_angle_beta 90.00
_cell_angle_gamma 90.00
loop_
_space_group_symop_operation_xyz
'x,y,z'
loop_
_atom_site_label
_atom_site_type_symbol
_atom_site_fract_x
_atom_site_fract_y
_atom_site_fract_z
Zr1 Zr 0.0000 0.0000 0.0000
Be1 Be 0.0000 0.0000 0.5000
Tc1 Tc 0.0000 0.5000 0.0000
Tc2 Tc 0.5000 0.0000 0.0000
P1 P 0.5000 0.5000 0.5000

---

# KNbN2O (PBE, relaxed)
# - Magnetization: 2.0 μB/f.u.
# - Formation energy from raw total energies: -0.57 eV per atom
data_KNbN2O
_chemical_formula_sum 'K1 Nb1 N2 O1'
_space_group_name_H-M_alt 'P 1'
_space_group_IT_number 1
_cell_length_a 4.1855
_cell_length_b 4.1855
_cell_length_c 4.1143
_cell_angle_alpha 90.00
_cell_angle_beta 90.00
_cell_angle_gamma 90.00
loop_
_space_group_symop_operation_xyz
'x,y,z'
loop_
_atom_site_label
_atom_site_type_symbol
_atom_site_fract_x
_atom_site_fract_y
_atom_site_fract_z
K1 K 0.0000 0.0000 0.0000
Nb1 Nb 0.5000 0.5000 0.5000
N1 N 0.0000 0.5000 0.5000
N2 N 0.5000 0.0000 0.5000
O1 O 0.5000 0.5000 0.0000

---

# As2Pd8Se (PBE, relaxed)
# - Magnetization: 0.0 μB/f.u.
# - Formation energy from raw total energies: -0.29 eV per atom
data_As2Pd8Se
_chemical_formula_sum 'As2 Pd8 Se1'
_space_group_name_H-M_alt 'P 1'
_space_group_IT_number 1
_cell_length_a 7.6634
_cell_length_b 7.6634
_cell_length_c 6.2208
_cell_angle_alpha 109.77
_cell_angle_beta 109.77
_cell_angle_gamma 31.08
loop_
_space_group_symop_operation_xyz
'x,y,z'
loop_
_atom_site_label
_atom_site_type_symbol
_atom_site_fract_x
_atom_site_fract_y
_atom_site_fract_z
As1 As 0.1813 0.1813 0.1851
As2 As 0.8187 0.8187 0.8149
Pd1 Pd 0.0309 0.0309 0.2723
Pd2 Pd 0.1965 0.1965 0.8050
Pd3 Pd 0.3273 0.3273 0.5391
Pd4 Pd 0.4081 0.4081 0.0386
Pd5 Pd 0.5919 0.5919 0.9614
Pd6 Pd 0.6727 0.6727 0.4609
Pd7 Pd 0.8035 0.8035 0.1950
Pd8 Pd 0.9691 0.9691 0.7277
Se1 Se 0.5000 0.5000 0.5000

---

# NiTeBr2 (PBE, relaxed)
# - Magnetization: 2.4 μB/f.u.
# - E above lowest polymorph: 205 meV per atom
# - Formation energy from raw total energies: -0.04 eV per atom
data_NiTeBr2
_chemical_formula_sum 'Ni1 Te1 Br2'
_space_group_name_H-M_alt 'P 1'
_space_group_IT_number 1
_cell_length_a 12.0516
_cell_length_b 12.0516
_cell_length_c 12.0516
_cell_angle_alpha 16.67
_cell_angle_beta 16.67
_cell_angle_gamma 16.67
loop_
_space_group_symop_operation_xyz
'x,y,z'
loop_
_atom_site_label
_atom_site_type_symbol
_atom_site_fract_x
_atom_site_fract_y
_atom_site_fract_z
Ni1 Ni 0.0000 0.0000 0.0000
Te1 Te 0.5000 0.5000 0.5000
Br1 Br 0.2919 0.2919 0.2919
Br2 Br 0.7081 0.7081 0.7081

---

# Sr2AsW (PBE, relaxed)
# - Magnetization: 2.4 μB/f.u.
# - ΔE_f: 0.47 eV per atom
data_Sr2AsW
_chemical_formula_sum 'Sr4 As2 W2'
_space_group_name_H-M_alt 'P 1'
_space_group_IT_number 1
_cell_length_a 8.3739
_cell_length_b 8.3739
_cell_length_c 8.3739
_cell_angle_alpha 94.75
_cell_angle_beta 94.75
_cell_angle_gamma 146.57
loop_
_space_group_symop_operation_xyz
'x,y,z'
loop_
_atom_site_label
_atom_site_type_symbol
_atom_site_fract_x
_atom_site_fract_y
_atom_site_fract_z
Sr1 Sr 0.3750 0.0387 0.1637
Sr2 Sr 0.7887 0.6250 0.6637
Sr3 Sr 0.8750 0.2113 0.8363
Sr4 Sr 0.9613 0.1250 0.3363
As1 As 0.0000 0.0000 0.0000
As2 As 0.7500 0.2500 0.5000
W1 W 0.2500 0.7500 0.5000
W2 W 0.5000 0.5000 0.0000

---

# Zr3Tl4CuS8 (PBE, relaxed)
# - Magnetization: 0.0 μB/f.u.
# - Formation energy from raw total energies: -0.94 eV per atom
data_Zr3Tl4CuS8
_chemical_formula_sum 'Zr3 Tl4 Cu1 S8'
_space_group_name_H-M_alt 'P 1'
_space_group_IT_number 1
_cell_length_a 7.4719
_cell_length_b 7.4719
_cell_length_c 8.8671
_cell_angle_alpha 115.04
_cell_angle_beta 115.04
_cell_angle_gamma 59.90
loop_
_space_group_symop_operation_xyz
'x,y,z'
loop_
_atom_site_label
_atom_site_type_symbol
_atom_site_fract_x
_atom_site_fract_y
_atom_site_fract_z
Zr1 Zr 0.0000 0.0000 0.0000
Zr2 Zr 0.0000 0.5000 0.0000
Zr3 Zr 0.5000 0.0000 0.0000
Tl1 Tl 0.0000 0.0000 0.5000
Tl2 Tl 0.0000 0.5000 0.5000
Tl3 Tl 0.5000 0.0000 0.5000
Tl4 Tl 0.5000 0.5000 0.5000
Cu1 Cu 0.5000 0.5000 0.0000
S1 S 0.2305 0.2305 0.1916
S2 S 0.2301 0.7277 0.1851
S3 S 0.2722 0.2722 0.8148
S4 S 0.2723 0.7699 0.8149
S5 S 0.7277 0.2301 0.1851
S6 S 0.7278 0.7278 0.1852
S7 S 0.7699 0.2723 0.8149
S8 S 0.7695 0.7695 0.8084